(1)
{"formula": "Sc2TlFe", "functional": "meta-GGA SCAN", "state": "PBEsol geometry", "lattice_angstrom": [[-1.260, -0.530, 2.878], [2.897, -0.665, 1.146], [0.926, 6.935, 1.683]], "species": ["Sc", "Sc", "Tl", "Fe"], "frac_coords": [[0.000, 0.000, 0.203], [0.000, 0.000, 0.797], [0.500, 0.500, 0.500], [0.500, 0.500, 0.000]], "space_group": "P4/mmm (123)", "total_magnetization_mub_per_fu": 0.0, "e_tot_ev_per_cell": -120.04, "e_form_kj_per_mol_fu": -104, "rho_g_cm3": 7.96}

(2)
{"formula": "TlAs3PbS6", "functional": "meta-GGA SCAN", "state": "PBEsol geometry", "lattice_angstrom": [[5.797, 0.000, 0.000], [2.898, 7.599, 0.000], [2.898, 0.000, 23.411]], "species": ["Tl", "Tl", "Tl", "Tl", "As", "As", "As", "As", "As", "As", "As", "As", "As", "As", "As", "As", "Pb", "Pb", "Pb", "Pb", "S", "S", "S", "S", "S", "S", "S", "S", "S", "S", "S", "S", "S", "S", "S", "S", "S", "S", "S", "S", "S", "S", "S", "S"], "frac_coords": [[0.979, 0.087, 0.560], [0.627, 0.913, 0.440], [0.289, 0.587, 0.940], [0.816, 0.413, 0.060], [0.662, 0.023, 0.931], [0.340, 0.111, 0.666], [0.118, 0.308, 0.345], [0.342, 0.523, 0.569], [0.756, 0.611, 0.834], [0.435, 0.477, 0.431], [0.771, 0.692, 0.655], [0.117, 0.889, 0.334], [0.615, 0.977, 0.069], [0.176, 0.192, 0.845], [0.201, 0.389, 0.166], [0.212, 0.808, 0.155], [0.358, 0.556, 0.746], [0.664, 0.944, 0.246], [0.854, 0.056, 0.754], [0.660, 0.444, 0.254], [0.074, 0.088, 0.406], [0.581, 0.277, 0.662], [0.501, 0.285, 0.840], [0.230, 0.588, 0.094], [0.608, 0.223, 0.162], [0.275, 0.719, 0.491], [0.568, 0.912, 0.594], [0.519, 0.723, 0.338], [0.970, 0.484, 0.584], [0.150, 0.560, 0.244], [0.039, 0.516, 0.416], [0.460, 0.940, 0.744], [0.304, 0.984, 0.916], [0.517, 0.219, 0.009], [0.205, 0.016, 0.084], [0.954, 0.440, 0.756], [0.486, 0.281, 0.509], [0.912, 0.412, 0.906], [0.144, 0.060, 0.256], [0.535, 0.215, 0.340], [0.745, 0.781, 0.991], [0.992, 0.777, 0.838], [0.625, 0.715, 0.160], [0.091, 0.785, 0.660]], "space_group": "Fdd2 (43)", "total_magnetization_mub_per_fu": 0.0, "e_tot_ev_per_cell": -1079.22, "raw_formation_energy_mev_per_atom": -302, "rho_g_cm3": 5.34}

(3)
{"formula": "CrRu3", "functional": "meta-GGA SCAN", "state": "PBEsol geometry", "lattice_angstrom": [[2.663, 0.000, 0.000], [0.000, 4.595, 0.000], [-1.331, -2.297, 4.190]], "species": ["Ru", "Ru", "Ru", "Cr"], "frac_coords": [[0.254, 0.920, 0.507], [0.500, 0.504, 0.000], [0.746, 0.413, 0.493], [0.000, 0.996, 0.000]], "space_group": "Imm2 (44)", "total_magnetization_mub_per_fu": 0.0, "e_tot_ev_per_cell": -122.77, "e_form_kj_per_mol_fu": 9, "rho_g_cm3": 11.50}

(4)
{"formula": "ZnCoIO2", "functional": "meta-GGA SCAN", "state": "PBEsol geometry", "lattice_angstrom": [[-3.649, -0.405, -0.504], [0.510, -3.579, -0.813], [-0.609, -1.330, 5.475]], "species": ["I", "Zn", "Co", "O", "O"], "frac_coords": [[0.000, 0.000, 0.500], [0.500, 0.500, 0.500], [0.000, 0.000, 0.000], [0.000, 0.500, 0.000], [0.500, 0.000, 0.000]], "space_group": "P4/mmm (123)", "total_magnetization_mub_per_fu": 3.4, "e_tot_ev_per_cell": -81.18, "raw_formation_energy_mev_per_atom": -231, "rho_g_cm3": 6.04}

(5)
{"formula": "TlCrCd", "functional": "meta-GGA SCAN", "state": "PBEsol geometry", "lattice_angstrom": [[-0.319, 2.803, 1.428], [-1.966, 0.942, -2.290], [-3.610, -4.039, 3.621]], "species": ["Cd", "Cr", "Tl"], "frac_coords": [[0.015, 0.015, 0.030], [0.662, 0.662, 0.324], [0.323, 0.323, 0.646]], "space_group": "I4mm (107)", "total_magnetization_mub_per_fu": 4.2, "e_tot_ev_per_cell": -120.44, "e_form_kj_per_mol_fu": 69, "rho_g_cm3": 10.01}

(6)
{"formula": "YFe2Rh", "functional": "meta-GGA SCAN", "state": "PBEsol geometry", "lattice_angstrom": [[-2.836, -2.320, 0.910], [-0.214, -1.148, -3.591], [2.833, -3.136, 0.834]], "species": ["Fe", "Fe", "Rh", "Y"], "frac_coords": [[0.000, 0.500, 0.000], [0.500, 0.000, 0.000], [0.500, 0.500, 0.500], [0.000, 0.000, 0.500]], "space_group": "P4/mmm (123)", "total_magnetization_mub_per_fu": 5.7, "e_tot_ev_per_cell": -98.28, "e_form_kj_per_mol_fu": -39, "rho_g_cm3": 8.21}

(7)
{"formula": "CuTePbI2", "functional": "meta-GGA SCAN", "state": "PBEsol geometry", "lattice_angstrom": [[5.994, 0.000, 0.000], [0.000, 5.994, 0.000], [0.000, 0.000, 5.830]], "species": ["Pb", "I", "I", "Te", "Cu"], "frac_coords": [[0.000, 0.000, 0.000], [0.000, 0.500, 0.000], [0.500, 0.000, 0.000], [0.000, 0.000, 0.500], [0.500, 0.500, 0.500]], "space_group": "P4/mmm (123)", "total_magnetization_mub_per_fu": 0.0, "e_tot_ev_per_cell": -198.56, "raw_formation_energy_mev_per_atom": 630, "rho_g_cm3": 5.17}

(8)
{"formula": "In2RuW", "functional": "meta-GGA SCAN", "state": "PBEsol geometry", "lattice_angstrom": [[3.014, 0.000, 0.000], [0.000, 4.652, 0.000], [0.000, 0.000, 4.949]], "species": ["In", "In", "Ru", "W"], "frac_coords": [[0.000, 0.000, 0.000], [0.500, 0.000, 0.500], [0.500, 0.500, 0.000], [0.000, 0.500, 0.500]], "space_group": "Pmmm (47)", "total_magnetization_mub_per_fu": 0.0, "e_tot_ev_per_cell": -168.86, "e_form_kj_per_mol_fu": 234, "rho_g_cm3": 12.31}

(9)
{"formula": "Rb2ZnGaH", "functional": "meta-GGA SCAN", "state": "PBEsol geometry", "lattice_angstrom": [[4.552, 0.000, 0.000], [0.000, 6.553, 0.000], [0.000, 0.000, 6.553]], "species": ["H", "Zn", "Ga", "Rb", "Rb"], "frac_coords": [[0.500, 0.500, 0.500], [0.000, 0.000, 0.000], [0.500, 0.000, 0.000], [0.000, 0.000, 0.500], [0.000, 0.500, 0.000]], "space_group": "P4/mmm (123)", "total_magnetization_mub_per_fu": 0.0, "e_tot_ev_per_cell": -73.33, "rho_g_cm3": 2.61}

(10)
{"formula": "NiCF3", "functional": "meta-GGA SCAN", "state": "PBEsol geometry", "lattice_angstrom": [[3.722, 0.000, 0.000], [0.000, 3.722, 0.000], [0.000, 0.000, 3.722]], "species": ["Ni", "C", "F", "F", "F"], "frac_coords": [[0.500, 0.500, 0.500], [0.000, 0.000, 0.000], [0.000, 0.500, 0.000], [0.000, 0.000, 0.500], [0.500, 0.000, 0.000]], "space_group": "Pm-3m (221)", "total_magnetization_mub_per_fu": 1.1, "e_tot_ev_per_cell": -35.14, "raw_formation_energy_mev_per_atom": 351, "rho_g_cm3": 4.11}

(11)
{"formula": "Er2GeRh3", "functional": "meta-GGA SCAN", "state": "PBEsol geometry", "lattice_angstrom": [[-0.613, 2.338, -4.394], [-1.815, -2.951, -3.625], [-4.793, 0.922, -1.148]], "species": ["Ge", "Rh", "Rh", "Rh", "Er", "Er"], "frac_coords": [[0.000, 0.000, 0.000], [0.000, 0.000, 0.500], [0.000, 0.500, 0.000], [0.500, 0.000, 0.000], [0.629, 0.629, 0.629], [0.371, 0.371, 0.371]], "space_group": "R-3m (166)", "total_magnetization_mub_per_fu": 0.0, "e_tot_ev_per_cell": -227.50, "e_form_kj_per_mol_fu": -619, "rho_g_cm3": 11.75}

(12)
{"formula": "CsZn2Se2", "functional": "meta-GGA SCAN", "state": "PBEsol geometry", "lattice_angstrom": [[4.533, 0.000, 0.000], [0.000, 4.533, 0.000], [-2.267, -2.267, 6.479]], "species": ["Cs", "Zn", "Zn", "Se", "Se"], "frac_coords": [[0.000, 0.000, 0.000], [0.250, 0.750, 0.500], [0.750, 0.250, 0.500], [0.343, 0.343, 0.685], [0.657, 0.657, 0.315]], "space_group": "I4/mmm (139)", "total_magnetization_mub_per_fu": 0.0, "e_tot_ev_per_cell": -108.43, "raw_formation_energy_mev_per_atom": -686, "rho_g_cm3": 5.26}

(13)
{"formula": "Ce5AgPb3", "functional": "meta-GGA SCAN", "state": "PBEsol geometry", "lattice_angstrom": [[-3.485, -1.289, 5.227], [7.797, -3.001, 4.458], [-2.556, 9.102, 0.541]], "species": ["Ce", "Ce", "Ce", "Ce", "Ce", "Ce", "Ce", "Ce", "Ce", "Ce", "Ag", "Ag", "Pb", "Pb", "Pb", "Pb", "Pb", "Pb"], "frac_coords": [[0.000, 0.667, 0.333], [0.000, 0.333, 0.667], [0.500, 0.333, 0.667], [0.500, 0.667, 0.333], [0.250, 0.285, 0.285], [0.250, 0.000, 0.715], [0.250, 0.715, 0.000], [0.750, 0.715, 0.715], [0.750, 0.000, 0.285], [0.750, 0.285, 0.000], [0.000, 0.000, 0.000], [0.500, 0.000, 0.000], [0.250, 0.629, 0.629], [0.250, 0.000, 0.371], [0.250, 0.371, 0.000], [0.750, 0.371, 0.371], [0.750, 0.000, 0.629], [0.750, 0.629, 0.000]], "space_group": "P6_3/mcm (193)", "total_magnetization_mub_per_fu": 7.0, "e_tot_ev_per_cell": -973.84, "e_form_kj_per_mol_fu": -520, "rho_g_cm3": 9.54}